KHgAu | the Alexandria database | SCAN | PBEsol geometry; symmetry = F-43m; E = -146.46 eV/cell; energy of formation = -0.269 eV/atom; total magnetization = 0.0 μB/f.u.; offset from the most stable computed form = 8.6 kJ/mol of atoms
1.0
0.000 3.552 3.552
3.552 0.000 3.552
3.552 3.552 0.000
K Hg Au
1 1 1
Direct
0.000 0.000 0.000
0.500 0.500 0.500
0.250 0.250 0.250

=====

ZrIrCl2 | the Alexandria database | SCAN | PBEsol geometry; symmetry = P2/m; E = -118.64 eV/cell; raw formation energy = -0.2215 eV per atom; total magnetization = 0.0 μB/f.u.; offset from the most stable computed form = 0.0 kJ/mol of atoms
1.0
4.082 0.000 0.000
0.000 4.315 0.000
-0.066 0.000 4.111
Zr Ir Cl
1 1 2
Direct
0.000 0.000 0.000
0.500 0.000 0.500
0.247 0.500 0.753
0.753 0.500 0.247

=====

RbHf3Tc | the Alexandria database | SCAN | PBEsol geometry; symmetry = Pm-3m; E = -240.36 eV/cell; energy of formation = 0.693 eV/atom; total magnetization = 0.0 μB/f.u.
1.0
5.100 0.000 0.000
0.000 5.100 0.000
0.000 0.000 5.100
Rb Hf Tc
1 3 1
Direct
0.000 0.000 0.000
0.000 0.500 0.500
0.500 0.000 0.500
0.500 0.500 0.000
0.500 0.500 0.500

=====

Sm2Zn6Ge3 | the Alexandria database | SCAN | PBEsol geometry; symmetry = P-62m; E = -232.56 eV/cell; energy of formation = -0.484 eV/atom; total magnetization = 0.0 μB/f.u.
1.0
7.495 0.000 0.000
-3.748 6.491 0.000
0.000 0.000 4.000
Sm Zn Ge
2 6 3
Direct
0.333 0.667 0.000
0.667 0.333 0.000
0.000 0.190 0.000
0.000 0.715 0.500
0.190 0.000 0.000
0.285 0.285 0.500
0.715 0.000 0.500
0.810 0.810 0.000
0.000 0.386 0.500
0.386 0.000 0.500
0.614 0.614 0.500

=====

SrBAs2Se | the Alexandria database | SCAN | PBEsol geometry; symmetry = P4/mmm; E = -81.63 eV/cell; raw formation energy = 1.7075 eV per atom; total magnetization = 1.1 μB/f.u.
1.0
5.539 0.000 0.000
0.000 5.539 0.000
0.000 0.000 5.544
Sr B As Se
1 1 2 1
Direct
0.000 0.000 0.000
0.500 0.500 0.500
0.000 0.500 0.000
0.500 0.000 0.000
0.000 0.000 0.500

=====

Sc2ZnSb | the Alexandria database | SCAN | PBEsol geometry; symmetry = Cmm2; E = -80.27 eV/cell; raw formation energy = -0.2554 eV per atom; total magnetization = 0.0 μB/f.u.; offset from the most stable computed form = 43.7 kJ/mol of atoms
1.0
2.433 -2.445 0.000
2.433 2.445 0.000
0.000 0.000 7.106
Sc Zn Sb
2 1 1
Direct
0.000 0.000 0.000
0.500 0.500 0.287
0.500 0.500 0.783
0.000 0.000 0.557

=====

CrTc3Pd | the Alexandria database | SCAN | PBEsol geometry; symmetry = Pm-3m; E = -150.15 eV/cell; energy of formation = 1.237 eV/atom; total magnetization = 0.0 μB/f.u.
1.0
4.304 0.000 0.000
0.000 4.304 0.000
0.000 0.000 4.304
Cr Tc Pd
1 3 1
Direct
0.000 0.000 0.000
0.000 0.000 0.500
0.000 0.500 0.000
0.500 0.000 0.000
0.500 0.500 0.500

=====

BeReP | the Alexandria database | SCAN | PBEsol geometry; symmetry = I4mm; E = -87.20 eV/cell; energy of formation = -0.450 eV/atom; total magnetization = 0.0 μB/f.u.; offset from the most stable computed form = 0.0 kJ/mol of atoms
1.0
-1.503 1.503 3.722
1.503 -1.503 3.722
1.503 1.503 -3.722
Be Re P
1 1 1
Direct
0.000 0.000 0.000
0.672 0.672 0.000
0.336 0.336 0.000

=====

> The highest total magnetization belongs to which entry?

SrBAs2Se